# MnCdCoF6

A geometry-optimized MnCdCoF6 structure (PBE+U, the Alexandria database).

## Properties
Magnetization   7.94 μB per formula unit
Uncorrected energy   -5.050 eV/atom

Structure (POSCAR):
```
MnCdCoF6
1.0
-2.544 2.342 4.323
3.571 -4.152 0.807
6.859 6.047 0.759
F Co Cd Mn
12 2 2 2
Cartesian
2.423 1.802 5.019
0.101 1.465 1.602
5.463 2.435 0.870
6.977 0.497 2.629
0.909 3.740 3.260
5.078 2.496 3.868
8.355 2.498 1.331
-0.469 1.740 4.558
1.483 -0.352 3.583
2.809 1.741 2.021
6.403 4.590 2.306
7.786 2.772 4.287
1.209 1.689 3.341
6.677 2.548 2.548
3.248 -0.475 2.169
4.639 4.713 3.720
0.000 0.000 0.000
3.429 3.023 0.380
```

---

# CdCoNF2

A geometry-optimized CdCoNF2 structure (PBE+U, the Alexandria database).

## Properties
Magnetization   1.78 μB per formula unit
Energy above the most stable polymorph in this dataset   716.8 meV per atom

Structure (POSCAR):
```
CdCoNF2
1.0
4.286 0.000 0.000
0.000 4.286 0.000
0.000 0.000 4.435
F N Cd Co
2 1 1 1
Cartesian
0.000 2.143 0.000
2.143 0.000 0.000
0.000 0.000 2.217
0.000 0.000 0.000
2.143 2.143 2.217
```

---

# CdCoNF2

A geometry-optimized CdCoNF2 structure (PBE+U, the Alexandria database).

## Properties
Magnetization   3.28 μB per formula unit
Energy above the most stable polymorph in this dataset   0.0 meV per atom

Structure (POSCAR):
```
CdCoNF2
1.0
4.008 0.000 0.000
0.000 4.008 0.000
0.000 0.000 3.819
F Cd N Co
2 1 1 1
Cartesian
0.000 2.004 0.000
2.004 0.000 0.000
2.004 2.004 1.909
0.000 0.000 1.909
0.000 0.000 0.000
```

---

# NaCd2CoF8

A geometry-optimized NaCd2CoF8 structure (PBE+U, the Alexandria database).

## Properties
Magnetization   1.95 μB per formula unit
Uncorrected energy   -4.110 eV/atom

Structure (POSCAR):
```
NaCd2CoF8
1.0
5.045 -0.001 -0.003
0.028 5.076 -0.006
0.003 0.008 6.835
F Cd Na Co
8 2 1 1
Cartesian
0.931 4.185 1.359
0.931 4.191 5.464
3.518 3.503 3.412
4.145 0.891 1.362
1.558 1.579 3.414
3.621 3.601 -0.006
4.146 0.897 5.467
1.456 1.481 6.832
2.538 2.539 1.674
2.538 2.543 5.152
0.001 0.004 3.418
0.000 0.000 0.000
```

---

# Na2CdCoF6

A geometry-optimized Na2CdCoF6 structure (PBE+U, the Alexandria database).

## Properties
Magnetization   3.00 μB per formula unit
Uncorrected energy   -4.390 eV/atom

Structure (POSCAR):
```
Na2CdCoF6
1.0
-4.960 -0.656 -2.582
2.771 -1.374 -4.974
-0.012 -7.844 2.160
F Co Cd Na
12 2 2 4
Cartesian
-2.789 -3.200 -4.526
0.743 -7.318 -4.054
0.587 -6.674 -0.870
-2.551 -5.305 -1.982
-1.893 -8.940 -4.060
-2.945 -2.556 -1.342
-0.308 -0.934 -1.336
0.350 -4.569 -3.413
-0.511 -3.793 -0.503
0.428 -1.649 -4.021
-2.629 -8.225 -1.374
-1.691 -6.081 -4.892
1.385 -0.687 -2.487
-2.486 -4.250 -0.211
-2.480 -0.328 -1.291
1.379 -4.609 -1.407
-4.713 -6.623 -1.211
-1.175 -2.895 -2.888
2.511 -3.251 -4.185
-1.027 -6.979 -2.507
```

---

# NaCd2CoF

A geometry-optimized NaCd2CoF structure (PBE+U, the Alexandria database).

## Properties
Magnetization   2.31 μB per formula unit
Uncorrected energy   -2.058 eV/atom

Structure (POSCAR):
```
NaCd2CoF
1.0
-0.519 -5.329 2.108
2.536 0.858 2.794
-4.315 1.756 3.377
F Na Co Cd
1 1 1 2
Cartesian
1.268 0.429 1.397
0.000 0.000 0.000
-1.149 -1.357 4.139
-0.260 -2.664 1.054
-2.158 0.878 1.688
```